# 1
A geometry-optimized VTc3Sb structure. Source: Alexandria via LeMat-Bulk, functional PBE.

The total energy comes out at -38.9 eV for the cell shown. For the relative energy among the computed polymorphs, the calculation gives 0.00 kcal/mol of atoms.

It has space group Pm-3m (No. 221), with a = 4.521 Å, b = 4.521 Å, c = 4.521 Å, α = 90.00°, β = 90.00° and γ = 90.00°. The asymmetric unit holds V at (0.000, 0.000, 0.000), Tc at (0.000, 0.000, 0.500) and Sb at (0.500, 0.500, 0.500).

# 2
A geometry-optimized CsMn3In4Cl12 structure. Source: Alexandria via LeMat-Bulk, functional PBE.

The total energy comes out at -161.2 eV for the cell shown.

It has space group Im-3m (No. 229), with a = 10.635 Å, b = 10.635 Å, c = 10.635 Å, α = 90.00°, β = 90.00° and γ = 90.00°. The asymmetric unit holds Cs at (0.000, 0.000, 0.000), Mn at (0.000, 0.000, 0.500), In at (0.250, 0.250, 0.250), Cl at (0.000, 0.000, 0.286) and Cl at (0.000, 0.250, 0.500).

# 3
A geometry-optimized HoNi7B5 structure. Source: Alexandria via LeMat-Bulk, functional PBE.

The total energy comes out at -160.3 eV for the cell shown. The value obtained for the formation energy is -13 kJ per mole of atoms.

It has space group Imm2 (No. 44), with a = 4.418 Å, b = 7.603 Å, c = 7.451 Å, α = 90.00°, β = 90.00° and γ = 90.00°. The asymmetric unit holds Ho at (0.000, 0.000, 0.000), Ni at (0.000, 0.000, 0.341), Ni at (0.000, 0.000, 0.653), Ni at (0.000, 0.291, 0.456), Ni at (0.000, 0.346, 0.025), Ni at (0.000, 0.500, 0.724), B at (0.000, 0.500, 0.260) and B at (0.205, 0.248, 0.738).

# 4
A geometry-optimized RbPa2Te5 structure. Source: Alexandria via LeMat-Bulk, functional PBE.

The total energy comes out at -173.0 eV for the cell shown.

It has space group I4/mcm (No. 140), with a = 8.355 Å, b = 8.355 Å, c = 16.399 Å, α = 90.00°, β = 90.00° and γ = 90.00°. The asymmetric unit holds Rb at (0.000, 0.000, 0.250), Pa at (0.152, 0.348, 0.000), Te at (0.000, 0.000, 0.000) and Te at (0.147, 0.353, 0.379).

# 5
A geometry-optimized RuRh structure. Source: Alexandria via LeMat-Bulk, functional PBE.

The total energy comes out at -16.6 eV for the cell shown. The value obtained for the formation energy is 4 kJ per mole of atoms.

It has space group P-6m2 (No. 187), with a = 2.7325 Å, b = 2.7325 Å, c = 4.3414 Å, α = 90.00°, β = 90.00° and γ = 120.00°. The asymmetric unit holds Ru at (0.0000, 0.0000, 0.0000) and Rh at (0.6667, 0.3333, 0.5000).

# 6
A geometry-optimized CoRuCl3 structure. Source: Alexandria via LeMat-Bulk, functional PBE.

The total energy comes out at -90.8 eV for the cell shown. For the relative energy among the computed polymorphs, the calculation gives 2.15 kcal/mol of atoms.

It has space group Cmcm (No. 63), with a = 3.682 Å, b = 14.365 Å, c = 8.248 Å, α = 90.00°, β = 90.00° and γ = 90.00°. The asymmetric unit holds Co at (0.000, 0.171, 0.250), Ru at (0.000, 0.331, 0.250), Cl at (0.000, 0.153, 0.567) and Cl at (0.000, 0.424, 0.750).

# 7
A geometry-optimized YBeTe2N structure. Source: Alexandria via LeMat-Bulk, functional PBE.

The total energy comes out at -21.0 eV for the cell shown. For the relative energy among the computed polymorphs, the calculation gives 21.59 kcal/mol of atoms.

It has space group P4/mmm (No. 123), with a = 6.048 Å, b = 6.048 Å, c = 4.032 Å, α = 90.00°, β = 90.00° and γ = 90.00°. The asymmetric unit holds Y at (0.000, 0.000, 0.000), Be at (0.500, 0.500, 0.500), Te at (0.000, 0.500, 0.000) and N at (0.000, 0.000, 0.500).

# 8
A geometry-optimized K3Cd8Pb structure. Source: Alexandria via LeMat-Bulk, functional PBE.

The total energy comes out at -45.3 eV for the cell shown. The value obtained for the formation energy is -6 kJ per mole of atoms.

It has space group R3m (No. 160, hexagonal axes), with a = 6.2539 Å, b = 6.2539 Å, c = 30.7982 Å, α = 90.00°, β = 90.00° and γ = 120.00°. The asymmetric unit holds K at (0.0000, 0.0000, 0.0000), K at (0.0000, 0.0000, 0.1268), K at (0.0000, 0.0000, 0.5032), Cd at (0.0000, 0.0000, 0.3138), Cd at (0.0000, 0.0000, 0.8136), Cd at (0.0017, 0.5009, 0.5659), Cd at (0.1682, 0.3364, 0.3955) and Pb at (0.0000, 0.0000, 0.6250).

# 9
A geometry-optimized TbSmAlAu structure. Source: Alexandria via LeMat-Bulk, functional PBE.

The total energy comes out at -73.9 eV for the cell shown. The value obtained for the formation energy is -51 kJ per mole of atoms.

It has space group F-43m (No. 216), with a = 7.353 Å, b = 7.353 Å, c = 7.353 Å, α = 90.00°, β = 90.00° and γ = 90.00°. The asymmetric unit holds Tb at (0.000, 0.000, 0.000), Sm at (0.000, 0.000, 0.500), Al at (0.250, 0.250, 0.750) and Au at (0.250, 0.250, 0.250).

# 10
A geometry-optimized TcTe2P structure. Source: Alexandria via LeMat-Bulk, functional PBE.

The total energy comes out at -21.8 eV for the cell shown.

It has space group P4mm (No. 99), with a = 3.075 Å, b = 3.075 Å, c = 9.709 Å, α = 90.00°, β = 90.00° and γ = 90.00°. The asymmetric unit holds Tc at (0.000, 0.000, 0.000), Te at (0.000, 0.000, 0.551), Te at (0.500, 0.500, 0.191) and P at (0.500, 0.500, 0.870).

# 11
A geometry-optimized InNi2Rh structure. Source: Alexandria via LeMat-Bulk, functional PBE.

The total energy comes out at -43.9 eV for the cell shown. The value obtained for the formation energy is -8 kJ per mole of atoms.

It has space group I-4m2 (No. 119), with a = 3.905 Å, b = 3.905 Å, c = 7.402 Å, α = 90.00°, β = 90.00° and γ = 90.00°. The asymmetric unit holds In at (0.000, 0.000, 0.000), Ni at (0.000, 0.000, 0.500), Ni at (0.000, 0.500, 0.750) and Rh at (0.000, 0.500, 0.250).